1.
AlCu5 | GGA-PBEsol | optimized geometry

a b c (Å): 4.414 4.414 4.156
angles (deg): 90.00 90.00 120.00
Element x y z (fractional)
Al1 0.000 0.000 0.000
Cu1 0.000 0.664 0.500
Cu2 0.333 0.667 0.000
Cu3 0.336 0.336 0.500
Cu4 0.664 0.000 0.500
Cu5 0.667 0.333 0.000

Calculated values
Fermi-level density of states ... 1.8 states/eV per cell

=====

2.
AlCu5 | GGA-PBEsol | optimized geometry

a b c (Å): 9.326 2.623 5.995
angles (deg): 90.00 106.00 90.00
Element x y z (fractional)
Al1 0.000 0.000 0.000
Al2 0.500 0.500 0.000
Cu1 0.118 0.500 0.733
Cu2 0.169 0.500 0.338
Cu3 0.284 0.000 0.071
Cu4 0.334 0.000 0.667
Cu5 0.452 0.500 0.403
Cu6 0.618 0.000 0.733
Cu7 0.669 0.000 0.338
Cu8 0.784 0.500 0.071
Cu9 0.834 0.500 0.667
Cu10 0.952 0.000 0.403

Calculated values
Fermi-level density of states ... 3.5 states/eV per cell

=====

Listing M_tot for the structures above in their given order: 0.00 0.00 μB/f.u..
Listing ΔH_f (0 K) for the structures above in their given order: -0.1369 -0.0987 eV/atom.
Listing final energy for the structures above in their given order: -4.43 -4.39 eV/atom.